Computed, not measured: an optimized crystal structure of CuRu2 at the PBE-GGA level of DFT.

```
CuRu2
1.0
-5.534 -1.540 -2.491
1.806 -2.545 5.429
-1.594 2.771 1.829
Ru Cu
6 3
direct
0.585 0.000 0.500
0.245 0.000 0.000
0.755 0.755 0.000
0.000 0.245 0.000
0.000 0.585 0.500
0.415 0.415 0.500
0.667 0.333 0.000
0.000 0.000 0.500
0.333 0.667 0.000
```

Output
V (Å³/cell): 125.1
Total energy (eV per atom): -6.90
DOS at the Fermi energy (states/eV/cell): 11.8